1.
{"formula": "ScSnW2", "functional": "PBE", "state": "optimized geometry", "crystal_system": "tetragonal", "lattice": [[7.725, 0.000, 0.000], [0.000, 7.725, 0.000], [3.862, 3.862, 2.746]], "species": ["W", "W", "W", "Sn", "Sn", "W", "Sc", "Sc"], "fractional_positions": [[0.648, 0.125, 0.250], [0.875, 0.898, 0.750], [0.375, 0.352, 0.750], [0.750, 0.250, 0.500], [0.000, 0.000, 0.000], [0.102, 0.625, 0.250], [0.500, 0.500, 0.000], [0.250, 0.750, 0.500]]}



2.
{"formula": "Sc2SnW", "functional": "PBE", "state": "optimized geometry", "crystal_system": "tetragonal", "lattice": [[-3.663, 1.895, 0.454], [-0.490, 0.040, -4.120], [-6.681, -8.045, -1.371]], "species": ["Sc", "Sn", "Sc", "Sc", "Sc", "W", "Sn", "W"], "fractional_positions": [[0.375, 0.365, 0.750], [0.500, 0.500, 0.000], [0.875, 0.885, 0.750], [0.115, 0.625, 0.250], [0.635, 0.125, 0.250], [0.750, 0.250, 0.500], [0.250, 0.750, 0.500], [0.000, 0.000, 0.000]]}



3.
{"formula": "Y2ScSn", "functional": "PBE", "state": "optimized geometry", "crystal_system": "tetragonal", "lattice": [[-3.933, 1.667, -1.920], [-2.554, -3.120, 2.524], [-0.380, 3.167, 3.529]], "species": ["Y", "Sc", "Sn", "Y"], "fractional_positions": [[0.000, 0.000, 0.500], [0.500, 0.000, 0.000], [0.500, 0.500, 0.500], [0.000, 0.500, 0.000]]}



4.
{"formula": "YScSn", "functional": "PBE", "state": "optimized geometry", "crystal_system": "trigonal", "relative_energy_mev_per_atom": 240, "lattice": [[-3.605, -0.527, -0.973], [1.024, -4.667, -1.265], [-1.401, 1.057, 4.620]], "species": ["Sc", "Sn", "Y"], "fractional_positions": [[0.868, 0.000, 0.000], [0.785, 0.667, 0.333], [0.347, 0.333, 0.667]]}



5.
{"formula": "Y3Sc4Sn4", "functional": "PBE", "state": "optimized geometry", "crystal_system": "orthorhombic", "lattice": [[4.189, 0.000, 0.000], [0.000, 8.877, 0.000], [-2.094, -4.438, 7.907]], "species": ["Sc", "Sn", "Y", "Sn", "Sc", "Sn", "Y", "Sn", "Sc", "Sc", "Y"], "fractional_positions": [[0.325, 0.127, 0.651], [0.236, 0.736, 0.473], [0.887, 0.887, 0.773], [0.500, 0.789, 0.000], [0.675, 0.873, 0.349], [0.764, 0.264, 0.527], [0.113, 0.113, 0.227], [0.500, 0.211, 0.000], [0.325, 0.523, 0.651], [0.675, 0.477, 0.349], [0.000, 0.500, 0.000]]}



6.
{"formula": "YSc3Sn2", "functional": "PBE", "state": "optimized geometry", "crystal_system": "monoclinic", "lattice": [[-0.098, -4.375, -0.761], [5.867, 3.364, -7.129], [2.794, -1.479, 8.137]], "species": ["Sn", "Sn", "Y", "Sc", "Sc", "Sn", "Y", "Sc", "Sc", "Sc", "Sc", "Sn"], "fractional_positions": [[0.243, 0.486, 0.773], [0.757, 0.514, 0.227], [0.114, 0.229, 0.092], [0.645, 0.290, 0.800], [0.307, 0.615, 0.507], [0.489, 0.978, 0.816], [0.886, 0.771, 0.908], [0.355, 0.710, 0.200], [0.936, 0.873, 0.562], [0.693, 0.385, 0.493], [0.064, 0.127, 0.438], [0.511, 0.022, 0.184]]}



7.
{"formula": "Y2Sc3Sn4", "functional": "PBE", "state": "optimized geometry", "crystal_system": "monoclinic", "lattice": [[-1.850, -0.905, -7.421], [-0.623, -6.900, 3.915], [-7.571, 1.641, 1.687]], "species": ["Sc", "Sc", "Sn", "Sc", "Sc", "Sn", "Sc", "Sn", "Y", "Sn", "Sn", "Y", "Sn", "Sn", "Y", "Sc", "Y", "Sn"], "fractional_positions": [[0.241, 0.249, 0.664], [0.000, 0.500, 0.500], [0.660, 0.915, 0.042], [0.741, 0.249, 0.836], [0.759, 0.751, 0.336], [0.340, 0.085, 0.958], [0.500, 0.500, 0.000], [0.160, 0.915, 0.458], [0.443, 0.809, 0.677], [0.840, 0.085, 0.542], [0.140, 0.507, 0.863], [0.943, 0.809, 0.823], [0.860, 0.493, 0.137], [0.360, 0.493, 0.363], [0.057, 0.191, 0.177], [0.259, 0.751, 0.164], [0.557, 0.191, 0.323], [0.640, 0.507, 0.637]]}



8.
{"formula": "Y2ScSn", "functional": "PBE", "state": "optimized geometry", "crystal_system": "tetragonal", "lattice": [[8.589, 0.000, 0.000], [0.000, 8.589, 0.000], [4.294, 4.294, 3.150]], "species": ["Y", "Sc", "Sn", "Y", "Y", "Y", "Sc", "Sn"], "fractional_positions": [[0.875, 0.895, 0.750], [0.250, 0.750, 0.500], [0.000, 0.000, 0.000], [0.645, 0.125, 0.250], [0.375, 0.355, 0.750], [0.105, 0.625, 0.250], [0.500, 0.500, 0.000], [0.750, 0.250, 0.500]]}



no.,energy relative to the elements (eV per atom)
1,1.0274
2,0.5985
3,-0.4067
4,-0.4190
5,-0.5714
6,-0.4965
7,-0.7639
8,0.0079